First-principles (GGA-PBE) data for a relaxed structure of TiCdH3, as listed in Alexandria via LeMat-Bulk.

The structure belongs to space group Pm-3m (No. 221); the cell edges are 3.7314, 3.7314 and 3.7314 Å and the angles 90.00°, 90.00° and 90.00°. The inequivalent atoms are Ti at (0.0000, 0.0000, 0.0000), Cd at (0.5000, 0.5000, 0.5000) and H at (0.0000, 0.5000, 0.5000).

As for the total moment: 0.00 μB per formula unit. The excess energy over the best structure of this formula in the dataset is 665 meV per atom. Its crystal system is cubic. The total energy is -3.0928 eV/atom.

---

First-principles (GGA-PBE) data for a relaxed structure of TbPrDyHo, as listed in Alexandria via LeMat-Bulk.

The structure belongs to space group Pmm2 (No. 25); the cell edges are 3.4514, 5.6372 and 6.7728 Å and the angles 90.00°, 90.00° and 90.00°. The inequivalent atoms are Tb at (0.0000, 0.0000, 0.0000), Pr at (0.0000, 0.0000, 0.4833), Dy at (0.0000, 0.5000, 0.7422) and Ho at (0.5000, 0.5000, 0.2337).

As for the total moment: 0.00 μB per formula unit. The value obtained for the energy of formation is 0.187 eV per atom. The excess energy over the best structure of this formula in the dataset is 59 meV per atom. Its crystal system is orthorhombic. The total energy is -4.4603 eV/atom.

---

First-principles (GGA-PBE) data for a relaxed structure of Er6Ni2Ru, as listed in Alexandria via LeMat-Bulk.

The structure belongs to space group Immm (No. 71); the cell edges are 9.2116, 9.4332 and 9.4451 Å and the angles 90.00°, 90.00° and 90.00°. The inequivalent atoms are Er at (0.0000, 0.1933, 0.1732), Er at (0.1756, 0.2426, 0.5000), Er at (0.1856, 0.5000, 0.2374), Ni at (0.0000, 0.0000, 0.3798), Ni at (0.1573, 0.0000, 0.0000), Ru at (0.0000, 0.5000, 0.0000) and Ru at (0.0000, 0.5000, 0.5000).

As for the total moment: 0.00 μB per formula unit. The value obtained for the energy of formation is -0.339 eV per atom. The excess energy over the best structure of this formula in the dataset is 0 meV per atom. Its crystal system is orthorhombic. The total energy is -5.6967 eV/atom.

---

First-principles (GGA-PBE) data for a relaxed structure of La5Pr4Er2, as listed in Alexandria via LeMat-Bulk.

The structure belongs to space group P2/m (No. 10); the cell edges are 9.1523, 3.5839 and 12.0209 Å and the angles 90.00°, 94.59° and 90.00°. The inequivalent atoms are La at (0.0000, 0.0000, 0.0000), La at (0.0667, 0.0000, 0.2930), La at (0.3052, 0.0000, 0.8336), Pr at (0.2214, 0.5000, 0.5501), Pr at (0.3411, 0.5000, 0.1120) and Er at (0.4415, 0.0000, 0.3655).

As for the total moment: 0.00 μB per formula unit. The value obtained for the energy of formation is 0.072 eV per atom. The excess energy over the best structure of this formula in the dataset is 0 meV per atom. Its crystal system is monoclinic. The total energy is -4.7353 eV/atom.

---

First-principles (GGA-PBE) data for a relaxed structure of Ta2Nb5Re, as listed in Alexandria via LeMat-Bulk.

The structure belongs to space group Pbam (No. 55); the cell edges are 5.5692, 11.0407 and 4.6503 Å and the angles 90.00°, 90.00° and 90.00°. The inequivalent atoms are Ta at (0.1561, 0.1124, 0.0000), Nb at (0.0000, 0.5000, 0.5000), Nb at (0.1459, 0.7539, 0.5000), Nb at (0.1589, 0.3727, 0.0000) and Re at (0.0000, 0.0000, 0.5000).

As for the total moment: 0.00 μB per formula unit. The value obtained for the energy of formation is -0.057 eV per atom. The excess energy over the best structure of this formula in the dataset is 65 meV per atom. Its crystal system is orthorhombic. The total energy is -10.8702 eV/atom.

---

First-principles (GGA-PBE) data for a relaxed structure of Rb2Cd4Hg, as listed in Alexandria via LeMat-Bulk.

The structure belongs to space group I4/mmm (No. 139); the cell edges are 5.7572, 5.7572 and 18.5160 Å and the angles 90.00°, 90.00° and 90.00°. The inequivalent atoms are Rb at (0.0000, 0.0000, 0.1417), Cd at (0.0000, 0.0000, 0.3451), Cd at (0.0000, 0.5000, 0.0000) and Hg at (0.0000, 0.0000, 0.5000).

As for the total moment: 0.00 μB per formula unit. The value obtained for the energy of formation is 0.079 eV per atom. Its crystal system is tetragonal. The total energy is -0.7631 eV/atom.

---

First-principles (GGA-PBE) data for a relaxed structure of Sb2IrPt, as listed in Alexandria via LeMat-Bulk.

The structure belongs to space group Imm2 (No. 44); the cell edges are 3.0729, 4.9522 and 10.3264 Å and the angles 90.00°, 90.00° and 90.00°. The inequivalent atoms are Sb at (0.0000, 0.0000, 0.0000), Sb at (0.0000, 0.5000, 0.2021), Ir at (0.0000, 0.5000, 0.7227) and Pt at (0.0000, 0.0000, 0.4591).

As for the total moment: 0.00 μB per formula unit. The raw formation energy is 0.122 eV/atom. The excess energy over the best structure of this formula in the dataset is 250 meV per atom. Its crystal system is orthorhombic. The total energy is -5.6648 eV/atom.

---

First-principles (GGA-PBE) data for a relaxed structure of GdMgScCu, as listed in Alexandria via LeMat-Bulk.

The structure belongs to space group F-43m (No. 216); the cell edges are 7.0894, 7.0894 and 7.0894 Å and the angles 90.00°, 90.00° and 90.00°. The inequivalent atoms are Gd at (0.0000, 0.0000, 0.0000), Mg at (0.2500, 0.2500, 0.7500), Sc at (0.0000, 0.0000, 0.5000) and Cu at (0.2500, 0.2500, 0.2500).

As for the total moment: 7.58 μB per formula unit. The value obtained for the energy of formation is -0.041 eV per atom. Its crystal system is cubic. The total energy is -6.5669 eV/atom.

---

First-principles (GGA-PBE) data for a relaxed structure of Ti8CrGa2, as listed in Alexandria via LeMat-Bulk.

The structure belongs to space group Immm (No. 71); the cell edges are 4.6068, 6.0085 and 12.9232 Å and the angles 90.00°, 90.00° and 90.00°. The inequivalent atoms are Ti at (0.0000, 0.0000, 0.1774), Ti at (0.0000, 0.2302, 0.3674), Ti at (0.0000, 0.2597, 0.0000), Cr at (0.0000, 0.5000, 0.5000) and Ga at (0.0000, 0.5000, 0.1880).

As for the total moment: 0.00 μB per formula unit. The value obtained for the energy of formation is -0.181 eV per atom. Its crystal system is orthorhombic. The total energy is -7.3478 eV/atom.

---

First-principles (GGA-PBE) data for a relaxed structure of Nd3Sc2Sb4, as listed in Alexandria via LeMat-Bulk.

The structure belongs to space group C2/m (No. 12); the cell edges are 14.5308, 4.4707 and 9.8109 Å and the angles 90.00°, 123.82° and 90.00°. The inequivalent atoms are Nd at (0.0000, 0.0000, 0.0000), Nd at (0.1375, 0.5000, 0.7193), Sc at (0.1828, 0.5000, 0.3654), Sb at (0.0693, 0.0000, 0.3985) and Sb at (0.1776, 0.5000, 0.0749).

As for the total moment: 1.45 μB per formula unit. The raw formation energy is -0.931 eV/atom. Its crystal system is monoclinic. The total energy is -5.7590 eV/atom.

---

First-principles (GGA-PBE) data for a relaxed structure of BeBr2F, as listed in Alexandria via LeMat-Bulk.

The structure belongs to space group Fm-3m (No. 225); the cell edges are 6.3436, 6.3436 and 6.3436 Å and the angles 90.00°, 90.00° and 90.00°. The inequivalent atoms are Be at (0.0000, 0.0000, 0.0000), Br at (0.2500, 0.2500, 0.2500) and F at (0.0000, 0.0000, 0.5000).

As for the total moment: 0.00 μB per formula unit. The raw formation energy is -0.005 eV/atom. The excess energy over the best structure of this formula in the dataset is 607 meV per atom. Its crystal system is cubic. The total energy is -2.2406 eV/atom.

---

First-principles (GGA-PBE) data for a relaxed structure of SiPbW2, as listed in Alexandria via LeMat-Bulk.

The structure belongs to space group C2/m (No. 12); the cell edges are 8.7716, 3.2863 and 5.3287 Å and the angles 90.00°, 98.32° and 90.00°. The inequivalent atoms are Si at (0.0000, 0.0000, 0.0000), Pb at (0.0000, 0.5000, 0.5000) and W at (0.2390, 0.5000, 0.1756).

As for the total moment: 0.00 μB per formula unit. The raw formation energy is 0.649 eV/atom. The excess energy over the best structure of this formula in the dataset is 301 meV per atom. Its crystal system is monoclinic. The total energy is -8.1106 eV/atom.

---

First-principles (GGA-PBE) data for a relaxed structure of TbPm2Y2Sc, as listed in Alexandria via LeMat-Bulk.

The structure belongs to space group Pmma (No. 51); the cell edges are 7.0336, 5.5848 and 9.6538 Å and the angles 90.00°, 90.00° and 90.00°. The inequivalent atoms are Tb at (0.0000, 0.0000, 0.0000), Pm at (0.2500, 0.0000, 0.3190), Pm at (0.2500, 0.5000, 0.8484), Y at (0.0000, 0.5000, 0.5000), Y at (0.2500, 0.0000, 0.6587) and Sc at (0.2500, 0.5000, 0.1778).

As for the total moment: 0.00 μB per formula unit. The value obtained for the energy of formation is 0.067 eV per atom. Its crystal system is orthorhombic. The total energy is -5.4978 eV/atom.

---

First-principles (GGA-PBE) data for a relaxed structure of PrNdCd4, as listed in Alexandria via LeMat-Bulk.

The structure belongs to space group Immm (No. 71); the cell edges are 5.1180, 6.9124 and 8.8351 Å and the angles 90.00°, 90.00° and 90.00°. The inequivalent atoms are Pr at (0.0000, 0.0000, 0.0000), Nd at (0.0000, 0.5000, 0.0000) and Cd at (0.0000, 0.2494, 0.3332).

As for the total moment: 0.00 μB per formula unit. The value obtained for the energy of formation is -0.350 eV per atom. The excess energy over the best structure of this formula in the dataset is 0 meV per atom. Its crystal system is orthorhombic. The total energy is -2.5514 eV/atom.

---

First-principles (GGA-PBE) data for a relaxed structure of Sr3CaPu2N6, as listed in Alexandria via LeMat-Bulk.

The structure belongs to space group C2/m (No. 12); the cell edges are 15.4111, 3.6163 and 7.2976 Å and the angles 90.00°, 105.21° and 90.00°. The inequivalent atoms are Sr at (0.0000, 0.0000, 0.0000), Sr at (0.1634, 0.5000, 0.3357), Ca at (0.0000, 0.0000, 0.5000), Pu at (0.1674, 0.5000, 0.8276), N at (0.0269, 0.5000, 0.7600), N at (0.1666, 0.0000, 0.6210) and N at (0.1855, 0.0000, 0.0674).

As for the total moment: 6.00 μB per formula unit. The raw formation energy is -0.978 eV/atom. Its crystal system is monoclinic. The total energy is -8.1168 eV/atom.

---

First-principles (GGA-PBE) data for a relaxed structure of Be3C, as listed in Alexandria via LeMat-Bulk.

The structure belongs to space group Pnma (No. 62); the cell edges are 4.5141, 6.9344 and 4.2496 Å and the angles 90.00°, 90.00° and 90.00°. The inequivalent atoms are Be at (0.1257, 0.0935, 0.2064), Be at (0.1775, 0.2500, 0.7238) and C at (0.0973, 0.7500, 0.5492).

As for the total moment: 0.00 μB per formula unit. The value obtained for the energy of formation is 0.207 eV per atom. The excess energy over the best structure of this formula in the dataset is 0 meV per atom. Its crystal system is orthorhombic. The total energy is -4.8938 eV/atom.

---

First-principles (GGA-PBE) data for a relaxed structure of PmPu3P4, as listed in Alexandria via LeMat-Bulk.

The structure belongs to space group Pm-3m (No. 221); the cell edges are 5.7015, 5.7015 and 5.7015 Å and the angles 90.00°, 90.00° and 90.00°. The inequivalent atoms are Pm at (0.0000, 0.0000, 0.0000), Pu at (0.0000, 0.5000, 0.5000), P at (0.0000, 0.0000, 0.5000) and P at (0.5000, 0.5000, 0.5000).

As for the total moment: 14.83 μB per formula unit. The value obtained for the energy of formation is -1.239 eV per atom. Its crystal system is cubic. The total energy is -9.9119 eV/atom.

---

First-principles (GGA-PBE) data for a relaxed structure of Er5Mg2Sn5, as listed in Alexandria via LeMat-Bulk.

The structure belongs to space group C2/m (No. 12); the cell edges are 13.6436, 4.6066 and 11.8515 Å and the angles 90.00°, 118.89° and 90.00°. The inequivalent atoms are Er at (0.0000, 0.0000, 0.0000), Er at (0.1494, 0.0000, 0.4952), Er at (0.1501, 0.0000, 0.7926), Mg at (0.0883, 0.5000, 0.2638), Sn at (0.0000, 0.5000, 0.5000), Sn at (0.1275, 0.5000, 0.9563) and Sn at (0.2340, 0.0000, 0.2910).

As for the total moment: 0.00 μB per formula unit. The value obtained for the energy of formation is -0.432 eV per atom. Its crystal system is monoclinic. The total energy is -4.2669 eV/atom.

---

First-principles (GGA-PBE) data for a relaxed structure of Hf2ZrNpP4, as listed in Alexandria via LeMat-Bulk.

The structure belongs to space group P2/m (No. 10); the cell edges are 6.5236, 3.7574 and 6.5260 Å and the angles 90.00°, 109.06° and 90.00°. The inequivalent atoms are Hf at (0.0000, 0.0000, 0.0000), Hf at (0.0000, 0.5000, 0.5000), Zr at (0.5000, 0.0000, 0.5000), Np at (0.5000, 0.5000, 0.0000), P at (0.2396, 0.0000, 0.7426) and P at (0.2434, 0.5000, 0.2504).

As for the total moment: 3.75 μB per formula unit. The value obtained for the energy of formation is -1.220 eV per atom. Its crystal system is monoclinic. The total energy is -9.0992 eV/atom.

---

First-principles (GGA-PBE) data for a relaxed structure of AgAs2SBr, as listed in Alexandria via LeMat-Bulk.

The structure belongs to space group P4/mmm (No. 123); the cell edges are 4.8617, 4.8617 and 5.3089 Å and the angles 90.00°, 90.00° and 90.00°. The inequivalent atoms are Ag at (0.0000, 0.0000, 0.0000), As at (0.0000, 0.5000, 0.5000), S at (0.5000, 0.5000, 0.5000) and Br at (0.5000, 0.5000, 0.0000).

As for the total moment: 1.34 μB per formula unit. The raw formation energy is 0.759 eV/atom. The excess energy over the best structure of this formula in the dataset is 153 meV per atom. Its crystal system is tetragonal. The total energy is -2.8315 eV/atom.